[1]
{"formula": "Ga2O2F", "functional": "PBE-GGA", "state": "relaxed", "spacegroup": "P4/mbm", "lattice_angstrom": [[6.0059, 0.0000, 0.0000], [0.0000, 6.0059, 0.0000], [0.0000, 0.0000, 2.9846]], "species": ["O", "O", "Ga", "Ga", "Ga", "Ga", "O", "F", "F", "O"], "fractional_positions": [[0.6748, 0.8252, 0.5000], [0.3252, 0.1748, 0.5000], [0.8223, 0.6777, 0.0000], [0.6777, 0.1777, 0.0000], [0.3223, 0.8223, 0.0000], [0.1777, 0.3223, 0.0000], [0.1748, 0.6748, 0.5000], [0.0000, 0.0000, 0.0000], [0.5000, 0.5000, 0.0000], [0.8252, 0.3252, 0.5000]]}

***

[2]
{"formula": "GaO2F4", "functional": "PBE-GGA", "state": "relaxed", "spacegroup": "C2/m", "lattice_angstrom": [[-1.8792, -1.6822, -1.5761], [2.5007, -3.8078, 1.0826], [-2.2477, -0.6756, 6.2073]], "species": ["F", "O", "F", "F", "Ga", "O", "F"], "fractional_positions": [[0.1240, 0.7362, 0.2480], [0.2560, 0.2111, 0.5121], [0.4458, 0.7937, 0.8916], [0.5542, 0.2063, 0.1084], [0.0000, 0.0000, 0.0000], [0.7440, 0.7889, 0.4879], [0.8760, 0.2638, 0.7520]]}

***

[3]
{"formula": "GaOF2", "functional": "PBE-GGA", "state": "relaxed", "spacegroup": "Fm-3m", "relative_energy_ev_per_fu": 1.31, "lattice_angstrom": [[0.0000, 2.6866, 2.6866], [2.6866, 0.0000, 2.6866], [2.6866, 2.6866, 0.0000]], "species": ["Ga", "O", "F", "F"], "fractional_positions": [[0.5000, 0.5000, 0.5000], [0.0000, 0.0000, 0.0000], [0.2500, 0.2500, 0.2500], [0.7500, 0.7500, 0.7500]]}

***

[4]
{"formula": "Ga4O5F", "functional": "PBE-GGA", "state": "relaxed", "spacegroup": "Pmmn", "lattice_angstrom": [[-1.7923, -3.5441, -2.8603], [5.2261, -2.6868, 0.0543], [-2.2185, -4.1824, 6.5725]], "species": ["O", "F", "O", "Ga", "Ga", "Ga", "Ga", "Ga", "O", "O", "F", "O", "Ga", "Ga", "Ga", "O", "O", "O", "O", "O"], "fractional_positions": [[0.7714, 0.7593, 0.6805], [0.2074, 0.5000, 0.5000], [0.7714, 0.7593, 0.3195], [0.9583, 0.5000, 0.2214], [0.9583, 0.5000, 0.7786], [0.4707, 0.2351, 0.0000], [0.5293, 0.7351, 0.5000], [0.5293, 0.2649, 0.5000], [0.2286, 0.2593, 0.1805], [0.7714, 0.2407, 0.3195], [0.7926, 0.0000, 0.0000], [0.2286, 0.2593, 0.8195], [0.0417, 0.0000, 0.7214], [0.0417, 0.0000, 0.2786], [0.4707, 0.7649, 0.0000], [0.7714, 0.2407, 0.6805], [0.7157, 0.5000, 0.0000], [0.2286, 0.7407, 0.8195], [0.2286, 0.7407, 0.1805], [0.2843, 0.0000, 0.5000]]}

***

[5]
{"formula": "GaOsOF2", "functional": "PBE-GGA", "state": "relaxed", "spacegroup": "P4/mmm", "relative_energy_ev_per_fu": 2.79, "lattice_angstrom": [[4.2915, 0.0000, 0.0000], [0.0000, 4.2915, 0.0000], [0.0000, 0.0000, 3.5432]], "species": ["F", "Ga", "F", "Os", "O"], "fractional_positions": [[0.5000, 0.0000, 0.0000], [0.0000, 0.0000, 0.0000], [0.0000, 0.5000, 0.0000], [0.5000, 0.5000, 0.5000], [0.0000, 0.0000, 0.5000]]}

***

[6]
{"formula": "GaOsOF2", "functional": "PBE-GGA", "state": "relaxed", "spacegroup": "P4/mmm", "relative_energy_ev_per_fu": 0.00, "lattice_angstrom": [[-3.3173, 0.2837, 2.9805], [-2.8309, -1.7451, -2.9848], [0.8139, -3.4277, 1.2321]], "species": ["O", "Ga", "F", "Os", "F"], "fractional_positions": [[0.0000, 0.0000, 0.5000], [0.5000, 0.5000, 0.5000], [0.0000, 0.5000, 0.0000], [0.0000, 0.0000, 0.0000], [0.5000, 0.0000, 0.0000]]}

***

[7]
{"formula": "GaP2OF", "functional": "PBE-GGA", "state": "relaxed", "spacegroup": "P4/mmm", "relative_energy_ev_per_fu": 1.53, "lattice_angstrom": [[3.9972, 0.0000, 0.0000], [0.0000, 3.9972, 0.0000], [0.0000, 0.0000, 4.7657]], "species": ["O", "F", "P", "P", "Ga"], "fractional_positions": [[0.0000, 0.0000, 0.5000], [0.0000, 0.0000, 0.0000], [0.0000, 0.5000, 0.0000], [0.5000, 0.0000, 0.0000], [0.5000, 0.5000, 0.5000]]}

***

[8]
{"formula": "GaP2O6F", "functional": "PBE-GGA", "state": "relaxed", "spacegroup": "C2/c", "lattice_angstrom": [[-0.6234, 2.8453, 3.1045], [-6.4287, -2.9418, 4.1725], [5.5178, -2.0248, 5.7311]], "species": ["O", "O", "O", "P", "Ga", "F", "O", "P", "P", "O", "O", "Ga", "O", "O", "O", "O", "O", "O", "P", "F"], "fractional_positions": [[0.8714, 0.7612, 0.9840], [0.1158, 0.7527, 0.6692], [0.3842, 0.3308, 0.2473], [0.9459, 0.6552, 0.8147], [0.2500, 0.2277, 0.7723], [0.7500, 0.2297, 0.7703], [0.1347, 0.4726, 0.7908], [0.5541, 0.1853, 0.3448], [0.4459, 0.8147, 0.6552], [0.3653, 0.2092, 0.5274], [0.8842, 0.2473, 0.3308], [0.7500, 0.7723, 0.2277], [0.1286, 0.2388, 0.0160], [0.6347, 0.7908, 0.4726], [0.3714, 0.9840, 0.7612], [0.8653, 0.5274, 0.2092], [0.6158, 0.6692, 0.7527], [0.6286, 0.0160, 0.2388], [0.0541, 0.3448, 0.1853], [0.2500, 0.7703, 0.2297]]}

***

So what do the calculations give for energy relative to the elements, uncorrected? Going down the list: -1.319; -0.753; -0.593; -1.694; -0.282; -0.840; 0.635; -2.107 eV per atom.
So what do the calculations give for total magnetic moment? Going down the list: 0.00; 0.71; 0.27; 0.00; 0.72; 0.02; 0.00; 0.00 μB per atom.
So what do the calculations give for D(E_F)? Going down the list: 2.61; 2.13; 4.61; 4.25; 3.63; 2.64; 3.27; 0.00 states/eV per cell.